Model one:
# NiTe2Os (PBE, relaxed)
data_NiTe2Os
_cell_length_a 4.7483
_cell_length_b 4.7483
_cell_length_c 4.7483
_cell_angle_alpha 60.00
_cell_angle_beta 60.00
_cell_angle_gamma 60.00
_space_group_name_H-M_alt 'P 1'
_space_group_IT_number 1
_space_group_name_Hall 'P 1'
loop_
_atom_site_label
_atom_site_type_symbol
_atom_site_fract_x
_atom_site_fract_y
_atom_site_fract_z
Ni1 Ni 0.5000 0.5000 0.5000
Te1 Te 0.0000 0.0000 0.0000
Te2 Te 0.7500 0.7500 0.7500
Os1 Os 0.2500 0.2500 0.2500
# V: 18.9 A^3/atom
# N(E_F): 6.11 states/eV/f.u.


Model two:
# NiTe2Os (PBE, relaxed)
data_NiTe2Os
_cell_length_a 4.1965
_cell_length_b 4.5651
_cell_length_c 4.5545
_cell_angle_alpha 68.92
_cell_angle_beta 90.00
_cell_angle_gamma 90.00
_space_group_name_H-M_alt 'P 1'
_space_group_IT_number 1
_space_group_name_Hall 'P 1'
loop_
_atom_site_label
_atom_site_type_symbol
_atom_site_fract_x
_atom_site_fract_y
_atom_site_fract_z
Te1 Te 0.5000 0.3305 0.3300
Te2 Te 0.0000 0.9330 0.9337
Os1 Os 0.5000 0.7128 0.7111
Ni1 Ni 0.0000 0.5237 0.5251
# V: 20.4 A^3/atom
# N(E_F): 2.96 states/eV/f.u.


Model three:
# NiTe2Os (PBE, relaxed)
data_NiTe2Os
_cell_length_a 4.6698
_cell_length_b 4.6698
_cell_length_c 4.6698
_cell_angle_alpha 60.00
_cell_angle_beta 60.00
_cell_angle_gamma 60.00
_space_group_name_H-M_alt 'P 1'
_space_group_IT_number 1
_space_group_name_Hall 'P 1'
loop_
_atom_site_label
_atom_site_type_symbol
_atom_site_fract_x
_atom_site_fract_y
_atom_site_fract_z
Os1 Os 0.5000 0.5000 0.5000
Te1 Te 0.2500 0.2500 0.2500
Te2 Te 0.7500 0.7500 0.7500
Ni1 Ni 0.0000 0.0000 0.0000
# V: 18.0 A^3/atom
# N(E_F): 1.62 states/eV/f.u.


If we sort the structures by their calculated energies, the order from most to least stable is model two, model three, model one.


Model one:
# NiTe2Os (PBE, relaxed)
data_NiTe2Os
_cell_length_a 5.8174
_cell_length_b 5.8174
_cell_length_c 7.1318
_cell_angle_alpha 65.93
_cell_angle_beta 65.93
_cell_angle_gamma 90.00
_space_group_name_H-M_alt 'P 1'
_space_group_IT_number 1
_space_group_name_Hall 'P 1'
loop_
_atom_site_label
_atom_site_type_symbol
_atom_site_fract_x
_atom_site_fract_y
_atom_site_fract_z
Te1 Te 0.3750 0.3850 0.7500
Te2 Te 0.6150 0.1250 0.2500
Te3 Te 0.8750 0.8650 0.7500
Te4 Te 0.1350 0.6250 0.2500
Ni1 Ni 0.5000 0.5000 0.0000
Ni2 Ni 0.2500 0.7500 0.5000
Os1 Os 0.7500 0.2500 0.5000
Os2 Os 0.0000 0.0000 0.0000
# V: 24.6 A^3/atom
# N(E_F): 2.49 states/eV/f.u.


Model two:
# NiTe2Os (PBE, relaxed)
data_NiTe2Os
_cell_length_a 6.6398
_cell_length_b 6.6398
_cell_length_c 6.6398
_cell_angle_alpha 151.96
_cell_angle_beta 144.20
_cell_angle_gamma 46.08
_space_group_name_H-M_alt 'P 1'
_space_group_IT_number 1
_space_group_name_Hall 'P 1'
loop_
_atom_site_label
_atom_site_type_symbol
_atom_site_fract_x
_atom_site_fract_y
_atom_site_fract_z
Te1 Te 0.0489 0.0489 0.0000
Te2 Te 0.7943 0.2943 0.5000
Os1 Os 0.2284 0.7284 0.5000
Ni1 Ni 0.4284 0.4284 0.0000
# V: 20.1 A^3/atom
# N(E_F): 3.52 states/eV/f.u.


Model three:
# NiTe2Os (PBE, relaxed)
data_NiTe2Os
_cell_length_a 3.9498
_cell_length_b 3.9498
_cell_length_c 6.9086
_cell_angle_alpha 73.44
_cell_angle_beta 73.44
_cell_angle_gamma 60.03
_space_group_name_H-M_alt 'P 1'
_space_group_IT_number 1
_space_group_name_Hall 'P 1'
loop_
_atom_site_label
_atom_site_type_symbol
_atom_site_fract_x
_atom_site_fract_y
_atom_site_fract_z
Os1 Os 0.7733 0.7733 0.6802
Te1 Te 0.2095 0.2095 0.3702
Te2 Te 0.0303 0.0303 0.9108
Ni1 Ni 0.4869 0.4869 0.5388
# V: 22.0 A^3/atom
# N(E_F): 4.41 states/eV/f.u.


Model four:
# NiTe2Os (PBE, relaxed)
data_NiTe2Os
_cell_length_a 3.1807
_cell_length_b 3.1807
_cell_length_c 8.5018
_cell_angle_alpha 90.00
_cell_angle_beta 90.00
_cell_angle_gamma 117.64
_space_group_name_H-M_alt 'P 1'
_space_group_IT_number 1
_space_group_name_Hall 'P 1'
loop_
_atom_site_label
_atom_site_type_symbol
_atom_site_fract_x
_atom_site_fract_y
_atom_site_fract_z
Os1 Os 0.5000 0.5000 0.7500
Te1 Te 0.0000 0.0000 0.0080
Te2 Te 0.0000 0.0000 0.4920
Ni1 Ni 0.5000 0.5000 0.2500
# V: 19.0 A^3/atom
# N(E_F): 5.09 states/eV/f.u.


If we sort the structures by their calculated energies, the order from most to least stable is model three, model one, model two, model four.


Model one:
# NiTe2Os (PBE, relaxed)
data_NiTe2Os
_cell_length_a 3.2380
_cell_length_b 3.2380
_cell_length_c 6.9109
_cell_angle_alpha 90.00
_cell_angle_beta 90.00
_cell_angle_gamma 90.00
_space_group_name_H-M_alt 'P 1'
_space_group_IT_number 1
_space_group_name_Hall 'P 1'
loop_
_atom_site_label
_atom_site_type_symbol
_atom_site_fract_x
_atom_site_fract_y
_atom_site_fract_z
Te1 Te 0.0000 0.0000 0.4966
Te2 Te 0.0000 0.0000 0.0034
Os1 Os 0.5000 0.5000 0.7500
Ni1 Ni 0.5000 0.5000 0.2500
# V: 18.1 A^3/atom
# N(E_F): 3.05 states/eV/f.u.


Model two:
# NiTe2Os (PBE, relaxed)
data_NiTe2Os
_cell_length_a 3.9333
_cell_length_b 3.9333
_cell_length_c 6.6352
_cell_angle_alpha 77.04
_cell_angle_beta 77.04
_cell_angle_gamma 51.12
_space_group_name_H-M_alt 'P 1'
_space_group_IT_number 1
_space_group_name_Hall 'P 1'
loop_
_atom_site_label
_atom_site_type_symbol
_atom_site_fract_x
_atom_site_fract_y
_atom_site_fract_z
Te1 Te 0.9969 0.9969 0.0034
Te2 Te 0.5031 0.5031 0.4966
Os1 Os 0.7500 0.7500 0.7500
Ni1 Ni 0.2500 0.2500 0.2500
# V: 19.4 A^3/atom
# N(E_F): 2.98 states/eV/f.u.


Model three:
# NiTe2Os (PBE, relaxed)
data_NiTe2Os
_cell_length_a 7.6485
_cell_length_b 7.6485
_cell_length_c 7.6485
_cell_angle_alpha 25.89
_cell_angle_beta 25.89
_cell_angle_gamma 25.89
_space_group_name_H-M_alt 'P 1'
_space_group_IT_number 1
_space_group_name_Hall 'P 1'
loop_
_atom_site_label
_atom_site_type_symbol
_atom_site_fract_x
_atom_site_fract_y
_atom_site_fract_z
Ni1 Ni 0.2500 0.2500 0.2500
Te1 Te 0.5040 0.5040 0.5040
Te2 Te 0.9960 0.9960 0.9960
Os1 Os 0.7500 0.7500 0.7500
# V: 18.8 A^3/atom
# N(E_F): 4.48 states/eV/f.u.


Model four:
# NiTe2Os (PBE, relaxed)
data_NiTe2Os
_cell_length_a 5.5339
_cell_length_b 5.5339
_cell_length_c 5.5339
_cell_angle_alpha 138.37
_cell_angle_beta 138.37
_cell_angle_gamma 60.33
_space_group_name_H-M_alt 'P 1'
_space_group_IT_number 1
_space_group_name_Hall 'P 1'
loop_
_atom_site_label
_atom_site_type_symbol
_atom_site_fract_x
_atom_site_fract_y
_atom_site_fract_z
Ni1 Ni 0.5000 0.5000 0.0000
Te1 Te 0.0000 0.0000 0.0000
Te2 Te 0.2500 0.7500 0.5000
Os1 Os 0.7500 0.2500 0.5000
# V: 18.5 A^3/atom
# N(E_F): 3.73 states/eV/f.u.


If we sort the structures by their calculated energies, the order from most to least stable is model two, model three, model one, model four.


Model one:
# TlNi2Os (PBE, relaxed)
data_TlNi2Os
_cell_length_a 2.9662
_cell_length_b 2.9644
_cell_length_c 6.6918
_cell_angle_alpha 90.00
_cell_angle_beta 90.00
_cell_angle_gamma 90.00
_space_group_name_H-M_alt 'P 1'
_space_group_IT_number 1
_space_group_name_Hall 'P 1'
loop_
_atom_site_label
_atom_site_type_symbol
_atom_site_fract_x
_atom_site_fract_y
_atom_site_fract_z
Os1 Os 0.0000 0.0000 0.4443
Ni1 Ni 0.5000 0.5000 0.2428
Ni2 Ni 0.0000 0.0000 0.0443
Tl1 Tl 0.5000 0.5000 0.7687
# V: 14.7 A^3/atom
# N(E_F): 5.67 states/eV/f.u.


Model two:
# TlNi2Os (PBE, relaxed)
data_TlNi2Os
_cell_length_a 2.8360
_cell_length_b 2.8360
_cell_length_c 7.3808
_cell_angle_alpha 90.00
_cell_angle_beta 90.00
_cell_angle_gamma 90.02
_space_group_name_H-M_alt 'P 1'
_space_group_IT_number 1
_space_group_name_Hall 'P 1'
loop_
_atom_site_label
_atom_site_type_symbol
_atom_site_fract_x
_atom_site_fract_y
_atom_site_fract_z
Os1 Os 0.5000 0.5000 0.2500
Ni1 Ni 0.0000 0.0000 0.0328
Ni2 Ni 0.0000 0.0000 0.4672
Tl1 Tl 0.5000 0.5000 0.7500
# V: 14.8 A^3/atom
# N(E_F): 4.92 states/eV/f.u.


Model three:
# TlNi2Os (PBE, relaxed)
data_TlNi2Os
_cell_length_a 4.7790
_cell_length_b 4.7790
_cell_length_c 4.7790
_cell_angle_alpha 132.22
_cell_angle_beta 132.22
_cell_angle_gamma 69.89
_space_group_name_H-M_alt 'P 1'
_space_group_IT_number 1
_space_group_name_Hall 'P 1'
loop_
_atom_site_label
_atom_site_type_symbol
_atom_site_fract_x
_atom_site_fract_y
_atom_site_fract_z
Ni1 Ni 0.0000 0.0000 0.0000
Ni2 Ni 0.2500 0.7500 0.5000
Os1 Os 0.5000 0.5000 0.0000
Tl1 Tl 0.7500 0.2500 0.5000
# V: 14.7 A^3/atom
# N(E_F): 4.50 states/eV/f.u.


If we sort the structures by their calculated energies, the order from most to least stable is model two, model one, model three.


Model one:
# TlNi2Os (PBE, relaxed)
data_TlNi2Os
_cell_length_a 6.2889
_cell_length_b 4.6444
_cell_length_c 2.7730
_cell_angle_alpha 89.99
_cell_angle_beta 63.86
_cell_angle_gamma 123.06
_space_group_name_H-M_alt 'P 1'
_space_group_IT_number 1
_space_group_name_Hall 'P 1'
loop_
_atom_site_label
_atom_site_type_symbol
_atom_site_fract_x
_atom_site_fract_y
_atom_site_fract_z
Os1 Os 0.0000 0.5000 0.5000
Tl1 Tl 0.5000 0.5000 0.0000
Ni1 Ni 0.5000 0.0000 0.5000
Ni2 Ni 0.0000 0.0000 0.0000
# V: 14.4 A^3/atom
# N(E_F): 5.90 states/eV/f.u.


Model two:
# TlNi2Os (PBE, relaxed)
data_TlNi2Os
_cell_length_a 3.9712
_cell_length_b 3.9712
_cell_length_c 8.9672
_cell_angle_alpha 77.21
_cell_angle_beta 77.21
_cell_angle_gamma 90.00
_space_group_name_H-M_alt 'P 1'
_space_group_IT_number 1
_space_group_name_Hall 'P 1'
loop_
_atom_site_label
_atom_site_type_symbol
_atom_site_fract_x
_atom_site_fract_y
_atom_site_fract_z
Tl1 Tl 0.7500 0.2500 0.5000
Tl2 Tl 0.0000 0.0000 0.0000
Ni1 Ni 0.3750 0.4443 0.7500
Ni2 Ni 0.5557 0.1250 0.2500
Ni3 Ni 0.8750 0.8057 0.7500
Ni4 Ni 0.1943 0.6250 0.2500
Os1 Os 0.5000 0.5000 0.0000
Os2 Os 0.2500 0.7500 0.5000
# V: 16.8 A^3/atom
# N(E_F): 5.27 states/eV/f.u.


Model three:
# TlNi2Os (PBE, relaxed)
data_TlNi2Os
_cell_length_a 8.7005
_cell_length_b 8.7005
_cell_length_c 8.7005
_cell_angle_alpha 18.81
_cell_angle_beta 18.81
_cell_angle_gamma 18.81
_space_group_name_H-M_alt 'P 1'
_space_group_IT_number 1
_space_group_name_Hall 'P 1'
loop_
_atom_site_label
_atom_site_type_symbol
_atom_site_fract_x
_atom_site_fract_y
_atom_site_fract_z
Os1 Os 0.2500 0.2500 0.2500
Ni1 Ni 0.9939 0.9939 0.9939
Ni2 Ni 0.5061 0.5061 0.5061
Tl1 Tl 0.7500 0.7500 0.7500
# V: 15.0 A^3/atom
# N(E_F): 4.13 states/eV/f.u.


Model four:
# TlNi2Os (PBE, relaxed)
data_TlNi2Os
_cell_length_a 4.3846
_cell_length_b 4.3846
_cell_length_c 4.3846
_cell_angle_alpha 60.00
_cell_angle_beta 60.00
_cell_angle_gamma 60.00
_space_group_name_H-M_alt 'P 1'
_space_group_IT_number 1
_space_group_name_Hall 'P 1'
loop_
_atom_site_label
_atom_site_type_symbol
_atom_site_fract_x
_atom_site_fract_y
_atom_site_fract_z
Ni1 Ni 0.0000 0.0000 0.0000
Ni2 Ni 0.7500 0.7500 0.7500
Tl1 Tl 0.2500 0.2500 0.2500
Os1 Os 0.5000 0.5000 0.5000
# V: 14.9 A^3/atom
# N(E_F): 2.70 states/eV/f.u.


If we sort the structures by their calculated energies, the order from most to least stable is model one, model three, model four, model two.


Model one:
# Tl2NiOs (PBE, relaxed)
data_Tl2NiOs
_cell_length_a 4.1749
_cell_length_b 4.1749
_cell_length_c 9.8105
_cell_angle_alpha 77.71
_cell_angle_beta 77.71
_cell_angle_gamma 90.00
_space_group_name_H-M_alt 'P 1'
_space_group_IT_number 1
_space_group_name_Hall 'P 1'
loop_
_atom_site_label
_atom_site_type_symbol
_atom_site_fract_x
_atom_site_fract_y
_atom_site_fract_z
Ni1 Ni 0.5000 0.5000 0.0000
Ni2 Ni 0.2500 0.7500 0.5000
Tl1 Tl 0.3750 0.3779 0.7500
Tl2 Tl 0.8750 0.8721 0.7500
Tl3 Tl 0.1279 0.6250 0.2500
Tl4 Tl 0.6221 0.1250 0.2500
Os1 Os 0.7500 0.2500 0.5000
Os2 Os 0.0000 0.0000 0.0000
# V: 20.4 A^3/atom
# N(E_F): 3.14 states/eV/f.u.


Model two:
# Tl2NiOs (PBE, relaxed)
data_Tl2NiOs
_cell_length_a 4.6310
_cell_length_b 4.6310
_cell_length_c 5.5251
_cell_angle_alpha 78.13
_cell_angle_beta 78.13
_cell_angle_gamma 39.60
_space_group_name_H-M_alt 'P 1'
_space_group_IT_number 1
_space_group_name_Hall 'P 1'
loop_
_atom_site_label
_atom_site_type_symbol
_atom_site_fract_x
_atom_site_fract_y
_atom_site_fract_z
Tl1 Tl 0.0047 0.0047 0.9932
Tl2 Tl 0.4953 0.4953 0.5068
Ni1 Ni 0.7500 0.7500 0.7500
Os1 Os 0.2500 0.2500 0.2500
# V: 18.4 A^3/atom
# N(E_F): 3.53 states/eV/f.u.


If we sort the structures by their calculated energies, the order from most to least stable is model two, model one.


Model one:
# Tl2NiOs (PBE, relaxed)
data_Tl2NiOs
_cell_length_a 4.7087
_cell_length_b 4.7087
_cell_length_c 4.7087
_cell_angle_alpha 60.00
_cell_angle_beta 60.00
_cell_angle_gamma 60.00
_space_group_name_H-M_alt 'P 1'
_space_group_IT_number 1
_space_group_name_Hall 'P 1'
loop_
_atom_site_label
_atom_site_type_symbol
_atom_site_fract_x
_atom_site_fract_y
_atom_site_fract_z
Os1 Os 0.7500 0.7500 0.7500
Ni1 Ni 0.5000 0.5000 0.5000
Tl1 Tl 0.0000 0.0000 0.0000
Tl2 Tl 0.2500 0.2500 0.2500
# V: 18.5 A^3/atom
# N(E_F): 2.89 states/eV/f.u.


Model two:
# Tl2NiOs (PBE, relaxed)
data_Tl2NiOs
_cell_length_a 4.0909
_cell_length_b 3.8197
_cell_length_c 5.3657
_cell_angle_alpha 69.20
_cell_angle_beta 90.00
_cell_angle_gamma 90.00
_space_group_name_H-M_alt 'P 1'
_space_group_IT_number 1
_space_group_name_Hall 'P 1'
loop_
_atom_site_label
_atom_site_type_symbol
_atom_site_fract_x
_atom_site_fract_y
_atom_site_fract_z
Tl1 Tl 0.5000 0.2756 0.3213
Tl2 Tl 0.0000 0.9777 0.9200
Ni1 Ni 0.0000 0.6872 0.5033
Os1 Os 0.5000 0.5595 0.7554
# V: 19.6 A^3/atom
# N(E_F): 3.01 states/eV/f.u.


If we sort the structures by their calculated energies, the order from most to least stable is model two, model one.


Model one:
# Tl2NiOs (PBE, relaxed)
data_Tl2NiOs
_cell_length_a 3.0460
_cell_length_b 3.0460
_cell_length_c 8.8552
_cell_angle_alpha 90.00
_cell_angle_beta 90.00
_cell_angle_gamma 90.00
_space_group_name_H-M_alt 'P 1'
_space_group_IT_number 1
_space_group_name_Hall 'P 1'
loop_
_atom_site_label
_atom_site_type_symbol
_atom_site_fract_x
_atom_site_fract_y
_atom_site_fract_z
Ni1 Ni 0.0000 0.0000 0.5543
Tl1 Tl 0.0000 0.0000 0.9446
Tl2 Tl 0.5000 0.5000 0.3099
Os1 Os 0.5000 0.5000 0.6912
# V: 20.5 A^3/atom
# N(E_F): 5.60 states/eV/f.u.


Model two:
# Tl2NiOs (PBE, relaxed)
data_Tl2NiOs
_cell_length_a 3.3425
_cell_length_b 3.3425
_cell_length_c 6.3273
_cell_angle_alpha 90.00
_cell_angle_beta 90.00
_cell_angle_gamma 90.00
_space_group_name_H-M_alt 'P 1'
_space_group_IT_number 1
_space_group_name_Hall 'P 1'
loop_
_atom_site_label
_atom_site_type_symbol
_atom_site_fract_x
_atom_site_fract_y
_atom_site_fract_z
Ni1 Ni 0.5000 0.5000 0.2500
Tl1 Tl 0.0000 0.0000 0.4934
Tl2 Tl 0.0000 0.0000 0.0066
Os1 Os 0.5000 0.5000 0.7500
# V: 17.7 A^3/atom
# N(E_F): 2.22 states/eV/f.u.


If we sort the structures by their calculated energies, the order from most to least stable is model one, model two.